Crystalline HoFePd at its relaxed geometry. Source: OQMD, functional PBE.

Geometry as POSCAR:
```
HoFePd
1.0
0.000 3.183 3.183
3.183 0.000 3.183
3.183 3.183 0.000
Ho Fe Pd
1 1 1
direct
0.000 0.000 0.000
0.500 0.500 0.500
0.750 0.750 0.750
```

Properties
The value obtained for the total magnetization is 2.81 μB per formula unit. The value obtained for the formation energy is -33 meV/atom. The value obtained for the volume is 64.53 Å³ per cell. The uncorrected energy is -6.053 eV per atom.